Material: PrTm3Pd2
Method: DFT, GGA-PBE
State: relaxed

Cell: 3.5275 3.5275 11.9752 Å, 90.00 90.00 90.00°
Positions (direct):
Pr1 0.0000 0.0000 0.0000
Tm1 0.5000 0.5000 0.2218
Tm2 0.5000 0.5000 0.5000
Tm3 0.5000 0.5000 0.7782
Pd1 0.0000 0.0000 0.3580
Pd2 0.0000 0.0000 0.6420

Properties
Total magnetization (μB per formula unit): 0.000
Calculated total energy (eV per atom): -5.371
Space-group type: P4/mmm
Formation energy from the elements (kJ/mol of atoms): -59



Material: PrTm3Pd
Method: DFT, GGA-PBE
State: relaxed

Cell: 5.4157 5.4157 5.4157 Å, 90.00 90.00 90.00°
Positions (direct):
Pr1 0.0000 0.0000 0.0000
Tm1 0.0000 0.5000 0.5000
Tm2 0.5000 0.0000 0.5000
Tm3 0.5000 0.5000 0.0000
Pd1 0.5000 0.5000 0.5000

Properties
Total magnetization (μB per formula unit): 0.000
Calculated total energy (eV per atom): -4.886
Space-group type: Pm-3m
Formation energy from the elements (kJ/mol of atoms): -20



What is the formation energy from the elements in the first record? -59 kJ/mol of atoms



Repeat the second record exactly.
Material: PrTm3Pd
Method: DFT, GGA-PBE
State: relaxed

Cell: 5.4157 5.4157 5.4157 Å, 90.00 90.00 90.00°
Positions (direct):
Pr1 0.0000 0.0000 0.0000
Tm1 0.0000 0.5000 0.5000
Tm2 0.5000 0.0000 0.5000
Tm3 0.5000 0.5000 0.0000
Pd1 0.5000 0.5000 0.5000

Properties
Total magnetization (μB per formula unit): 0.000
Calculated total energy (eV per atom): -4.886
Space-group type: Pm-3m
Formation energy from the elements (kJ/mol of atoms): -20



Number 2 is which compound? PrTm3Pd



Among the records above, which one has the lowest formation energy from the elements? PrTm3Pd2